No. 1
DFT (PBE) results for an optimized crystal structure of AcBi2P2Pd7.

* final energy: -5.448 eV per atom
* DFT formation energy: -0.5278 eV/atom

Unit cell a=6.256 b=6.748 c=11.656 alpha=90.00 beta=94.30 gamma=90.00
Space group C2/m (No. 12)
Unique sites:
Ac (0.000, 0.000, 0.000)
Bi (0.155, 0.000, 0.390)
P (0.164, 0.500, 0.189)
Pd (0.000, 0.500, 0.000)
Pd (0.127, 0.500, 0.393)
Pd (0.135, 0.289, 0.782)



No. 2
DFT (PBE) results for an optimized crystal structure of AcBi2PPd2.

* final energy: -5.106 eV per atom
* DFT formation energy: -0.4946 eV/atom

Unit cell a=4.527 b=4.527 c=16.216 alpha=90.00 beta=90.00 gamma=90.00
Space group I4/mmm (No. 139)
Unique sites:
Ac (0.000, 0.000, 0.000)
Bi (0.000, 0.500, 0.250)
P (0.000, 0.000, 0.500)
Pd (0.000, 0.000, 0.359)



No. 3
DFT (PBE) results for an optimized crystal structure of AcBiPPd.

* final energy: -5.130 eV per atom
* DFT formation energy: -0.4816 eV/atom

Unit cell a=7.323 b=7.323 c=7.323 alpha=90.00 beta=90.00 gamma=90.00
Space group F-43m (No. 216)
Unique sites:
Ac (0.000, 0.000, 0.000)
Bi (0.000, 0.000, 0.500)
P (0.250, 0.250, 0.750)
Pd (0.250, 0.250, 0.250)



No. 4
DFT (PBE) results for an optimized crystal structure of Ac2BiP3Pd4.

* final energy: -5.731 eV per atom
* DFT formation energy: -0.8209 eV/atom

Unit cell a=4.378 b=4.378 c=10.826 alpha=90.00 beta=90.00 gamma=90.00
Space group P-4m2 (No. 115)
Unique sites:
Ac (0.000, 0.500, 0.227)
Bi (0.000, 0.000, 0.500)
P (0.000, 0.500, 0.878)
P (0.500, 0.500, 0.500)
Pd (0.000, 0.000, 0.000)
Pd (0.000, 0.500, 0.655)
Pd (0.500, 0.500, 0.000)



No. 5
DFT (PBE) results for an optimized crystal structure of AcPrBiP.

* final energy: -5.732 eV per atom
* DFT formation energy: -1.1877 eV/atom

Unit cell a=4.4975 b=4.4975 c=22.6176 alpha=90.00 beta=90.00 gamma=120.00
Space group R3m (No. 160, hexagonal axes)
Unique sites:
Ac (0.0000, 0.0000, 0.0000)
Pr (0.0000, 0.0000, 0.4821)
Bi (0.0000, 0.0000, 0.2364)
P (0.0000, 0.0000, 0.7441)



No. 6
DFT (PBE) results for an optimized crystal structure of AcBi2PPt2.

* final energy: -5.393 eV per atom
* DFT formation energy: -0.4994 eV/atom

Unit cell a=4.593 b=4.593 c=15.879 alpha=90.00 beta=90.00 gamma=90.00
Space group I4/mmm (No. 139)
Unique sites:
Ac (0.000, 0.000, 0.000)
Bi (0.000, 0.500, 0.250)
P (0.000, 0.000, 0.500)
Pt (0.000, 0.000, 0.359)